Compound: Ba4DyMo3O12
Source: Alexandria
Functional: PBE+U
Structure: relaxed

Calculated values
D(E_F) (states/eV per atom): 0.50
Crystal system: cubic
Raw total energy (eV/cell): -283.434
Theoretical density (g/cm³): 6.66

a = 8.408 Å, b = 8.408 Å, c = 8.408 Å
α = 90.00°, β = 90.00°, γ = 90.00°
Space group Im-3m (No. 229)
Inequivalent atoms, fractional coordinates:
Ba1 0.250 0.250 0.250 x8
Dy1 0.000 0.000 0.000 x2
Mo1 0.000 0.000 0.500 x6
O1 0.000 0.000 0.264 x12
O2 0.000 0.250 0.500 x12